<w>
A plane-wave DFT calculation with GGA-PBE was carried out for a geometry-optimized LuBeGa structure.

Results
Its volume is 17.99 Å³/atom.

The structure in CIF format:
```
data_LuBeGa
_space_group_name_H-M_alt 'F -4 3 m'
_space_group_IT_number 216
_space_group_name_Hall 'F -4 2 3'
_cell_length_a 5.9989
_cell_length_b 5.9989
_cell_length_c 5.9989
_cell_angle_alpha 90.00
_cell_angle_beta 90.00
_cell_angle_gamma 90.00
loop_
_atom_site_label
_atom_site_fract_x
_atom_site_fract_y
_atom_site_fract_z
Lu1 0.0000 0.0000 0.0000
Be1 0.2500 0.2500 0.7500
Ga1 0.0000 0.0000 0.5000
```

<x>
A plane-wave DFT calculation with GGA-PBE was carried out for a geometry-optimized LuBeGa structure.

Results
Its volume is 22.12 Å³/atom.

The structure in CIF format:
```
data_LuBeGa
_space_group_name_H-M_alt 'F -4 3 m'
_space_group_IT_number 216
_space_group_name_Hall 'F -4 2 3'
_cell_length_a 6.4269
_cell_length_b 6.4269
_cell_length_c 6.4269
_cell_angle_alpha 90.00
_cell_angle_beta 90.00
_cell_angle_gamma 90.00
loop_
_atom_site_label
_atom_site_fract_x
_atom_site_fract_y
_atom_site_fract_z
Lu1 0.0000 0.0000 0.0000
Be1 0.2500 0.2500 0.7500
Ga1 0.2500 0.2500 0.2500
```

<w> is favored, and the nearest alternative lies 73.3 kJ/mol of atoms above it.

<w>
A plane-wave DFT calculation with GGA-PBE was carried out for a geometry-optimized BeGaMo structure.

Results
Its volume is 15.49 Å³/atom.

The structure in CIF format:
```
data_BeGaMo
_space_group_name_H-M_alt 'F -4 3 m'
_space_group_IT_number 216
_space_group_name_Hall 'F -4 2 3'
_cell_length_a 5.7070
_cell_length_b 5.7070
_cell_length_c 5.7070
_cell_angle_alpha 90.00
_cell_angle_beta 90.00
_cell_angle_gamma 90.00
loop_
_atom_site_label
_atom_site_fract_x
_atom_site_fract_y
_atom_site_fract_z
Be1 0.0000 0.0000 0.0000
Ga1 0.2500 0.2500 0.2500
Mo1 0.0000 0.0000 0.5000
```

<x>
A plane-wave DFT calculation with GGA-PBE was carried out for a geometry-optimized BeGaMo structure.

Results
Its volume is 16.36 Å³/atom.

The structure in CIF format:
```
data_BeGaMo
_space_group_name_H-M_alt 'F -4 3 m'
_space_group_IT_number 216
_space_group_name_Hall 'F -4 2 3'
_cell_length_a 5.8116
_cell_length_b 5.8116
_cell_length_c 5.8116
_cell_angle_alpha 90.00
_cell_angle_beta 90.00
_cell_angle_gamma 90.00
loop_
_atom_site_label
_atom_site_fract_x
_atom_site_fract_y
_atom_site_fract_z
Be1 0.0000 0.0000 0.0000
Ga1 0.0000 0.0000 0.5000
Mo1 0.2500 0.2500 0.2500
```

<w> is favored, and the nearest alternative lies 15.1 kJ/mol of atoms above it.

<w>
A plane-wave DFT calculation with GGA-PBE was carried out for a geometry-optimized BeNbGaOs structure.

Results
Its volume is 14.20 Å³/atom.

The structure in CIF format:
```
data_BeNbGaOs
_space_group_name_H-M_alt 'F -4 3 m'
_space_group_IT_number 216
_space_group_name_Hall 'F -4 2 3'
_cell_length_a 6.1025
_cell_length_b 6.1025
_cell_length_c 6.1025
_cell_angle_alpha 90.00
_cell_angle_beta 90.00
_cell_angle_gamma 90.00
loop_
_atom_site_label
_atom_site_fract_x
_atom_site_fract_y
_atom_site_fract_z
Be1 0.0000 0.0000 0.0000
Nb1 0.2500 0.2500 0.2500
Ga1 0.2500 0.2500 0.7500
Os1 0.0000 0.0000 0.5000
```

<x>
A plane-wave DFT calculation with GGA-PBE was carried out for a geometry-optimized BeNbGaOs structure.

Results
Its volume is 13.75 Å³/atom.

The structure in CIF format:
```
data_BeNbGaOs
_space_group_name_H-M_alt 'F -4 3 m'
_space_group_IT_number 216
_space_group_name_Hall 'F -4 2 3'
_cell_length_a 6.0372
_cell_length_b 6.0372
_cell_length_c 6.0372
_cell_angle_alpha 90.00
_cell_angle_beta 90.00
_cell_angle_gamma 90.00
loop_
_atom_site_label
_atom_site_fract_x
_atom_site_fract_y
_atom_site_fract_z
Be1 0.0000 0.0000 0.0000
Nb1 0.2500 0.2500 0.2500
Ga1 0.0000 0.0000 0.5000
Os1 0.2500 0.2500 0.7500
```

<y>
A plane-wave DFT calculation with GGA-PBE was carried out for a geometry-optimized BeNbGaOs structure.

Results
Its volume is 14.24 Å³/atom.

The structure in CIF format:
```
data_BeNbGaOs
_space_group_name_H-M_alt 'F -4 3 m'
_space_group_IT_number 216
_space_group_name_Hall 'F -4 2 3'
_cell_length_a 6.1079
_cell_length_b 6.1079
_cell_length_c 6.1079
_cell_angle_alpha 90.00
_cell_angle_beta 90.00
_cell_angle_gamma 90.00
loop_
_atom_site_label
_atom_site_fract_x
_atom_site_fract_y
_atom_site_fract_z
Be1 0.0000 0.0000 0.0000
Nb1 0.0000 0.0000 0.5000
Ga1 0.2500 0.2500 0.2500
Os1 0.2500 0.2500 0.7500
```

<w> is favored, and the nearest alternative lies 6.9 kJ/mol of atoms above it.

<w>
A plane-wave DFT calculation with GGA-PBE was carried out for a geometry-optimized ScBeGaNi structure.

Results
Its volume is 13.40 Å³/atom.

The structure in CIF format:
```
data_ScBeGaNi
_space_group_name_H-M_alt 'F -4 3 m'
_space_group_IT_number 216
_space_group_name_Hall 'F -4 2 3'
_cell_length_a 5.9858
_cell_length_b 5.9858
_cell_length_c 5.9858
_cell_angle_alpha 90.00
_cell_angle_beta 90.00
_cell_angle_gamma 90.00
loop_
_atom_site_label
_atom_site_fract_x
_atom_site_fract_y
_atom_site_fract_z
Sc1 0.0000 0.0000 0.0000
Be1 0.2500 0.2500 0.2500
Ga1 0.0000 0.0000 0.5000
Ni1 0.2500 0.2500 0.7500
```

<x>
A plane-wave DFT calculation with GGA-PBE was carried out for a geometry-optimized ScBeGaNi structure.

Results
Its volume is 13.75 Å³/atom.

The structure in CIF format:
```
data_ScBeGaNi
_space_group_name_H-M_alt 'F -4 3 m'
_space_group_IT_number 216
_space_group_name_Hall 'F -4 2 3'
_cell_length_a 6.0373
_cell_length_b 6.0373
_cell_length_c 6.0373
_cell_angle_alpha 90.00
_cell_angle_beta 90.00
_cell_angle_gamma 90.00
loop_
_atom_site_label
_atom_site_fract_x
_atom_site_fract_y
_atom_site_fract_z
Sc1 0.0000 0.0000 0.0000
Be1 0.0000 0.0000 0.5000
Ga1 0.2500 0.2500 0.2500
Ni1 0.2500 0.2500 0.7500
```

<y>
A plane-wave DFT calculation with GGA-PBE was carried out for a geometry-optimized ScBeGaNi structure.

Results
Its volume is 13.47 Å³/atom.

The structure in CIF format:
```
data_ScBeGaNi
_space_group_name_H-M_alt 'F -4 3 m'
_space_group_IT_number 216
_space_group_name_Hall 'F -4 2 3'
_cell_length_a 5.9956
_cell_length_b 5.9956
_cell_length_c 5.9956
_cell_angle_alpha 90.00
_cell_angle_beta 90.00
_cell_angle_gamma 90.00
loop_
_atom_site_label
_atom_site_fract_x
_atom_site_fract_y
_atom_site_fract_z
Sc1 0.0000 0.0000 0.0000
Be1 0.2500 0.2500 0.7500
Ga1 0.2500 0.2500 0.2500
Ni1 0.0000 0.0000 0.5000
```

<w> is favored, and the nearest alternative lies 5.7 kJ/mol of atoms above it.

<w>
A plane-wave DFT calculation with GGA-PBE was carried out for a geometry-optimized BeGaTcNi structure.

Results
Its volume is 12.08 Å³/atom.

The structure in CIF format:
```
data_BeGaTcNi
_space_group_name_H-M_alt 'F -4 3 m'
_space_group_IT_number 216
_space_group_name_Hall 'F -4 2 3'
_cell_length_a 5.7814
_cell_length_b 5.7814
_cell_length_c 5.7814
_cell_angle_alpha 90.00
_cell_angle_beta 90.00
_cell_angle_gamma 90.00
loop_
_atom_site_label
_atom_site_fract_x
_atom_site_fract_y
_atom_site_fract_z
Be1 0.0000 0.0000 0.0000
Ga1 0.2500 0.2500 0.2500
Tc1 0.2500 0.2500 0.7500
Ni1 0.0000 0.0000 0.5000
```

<x>
A plane-wave DFT calculation with GGA-PBE was carried out for a geometry-optimized BeGaTcNi structure.

Results
Its volume is 11.95 Å³/atom.

The structure in CIF format:
```
data_BeGaTcNi
_space_group_name_H-M_alt 'F -4 3 m'
_space_group_IT_number 216
_space_group_name_Hall 'F -4 2 3'
_cell_length_a 5.7608
_cell_length_b 5.7608
_cell_length_c 5.7608
_cell_angle_alpha 90.00
_cell_angle_beta 90.00
_cell_angle_gamma 90.00
loop_
_atom_site_label
_atom_site_fract_x
_atom_site_fract_y
_atom_site_fract_z
Be1 0.0000 0.0000 0.0000
Ga1 0.0000 0.0000 0.5000
Tc1 0.2500 0.2500 0.2500
Ni1 0.2500 0.2500 0.7500
```

<x> is favored, and the nearest alternative lies 16.7 kJ/mol of atoms above it.

<w>
A plane-wave DFT calculation with GGA-PBE was carried out for a geometry-optimized BeTlGaNi structure.

Results
Its volume is 15.81 Å³/atom.

The structure in CIF format:
```
data_BeTlGaNi
_space_group_name_H-M_alt 'F -4 3 m'
_space_group_IT_number 216
_space_group_name_Hall 'F -4 2 3'
_cell_length_a 6.3240
_cell_length_b 6.3240
_cell_length_c 6.3240
_cell_angle_alpha 90.00
_cell_angle_beta 90.00
_cell_angle_gamma 90.00
loop_
_atom_site_label
_atom_site_fract_x
_atom_site_fract_y
_atom_site_fract_z
Be1 0.0000 0.0000 0.0000
Tl1 0.2500 0.2500 0.7500
Ga1 0.0000 0.0000 0.5000
Ni1 0.2500 0.2500 0.2500
```

<x>
A plane-wave DFT calculation with GGA-PBE was carried out for a geometry-optimized BeTlGaNi structure.

Results
Its volume is 15.33 Å³/atom.

The structure in CIF format:
```
data_BeTlGaNi
_space_group_name_H-M_alt 'F -4 3 m'
_space_group_IT_number 216
_space_group_name_Hall 'F -4 2 3'
_cell_length_a 6.2604
_cell_length_b 6.2604
_cell_length_c 6.2604
_cell_angle_alpha 90.00
_cell_angle_beta 90.00
_cell_angle_gamma 90.00
loop_
_atom_site_label
_atom_site_fract_x
_atom_site_fract_y
_atom_site_fract_z
Be1 0.0000 0.0000 0.0000
Tl1 0.2500 0.2500 0.7500
Ga1 0.2500 0.2500 0.2500
Ni1 0.0000 0.0000 0.5000
```

<x> is favored, and the nearest alternative lies 8.3 kJ/mol of atoms above it.